BaCrHgO4 | PBE with a Hubbard U | optimized geometry

The total magnetization is 0.00 μB/f.u. The total energy is -82.1 eV per cell. The calculation puts the density of states at the Fermi level at 0.00 states/eV/f.u.

The structure belongs to space group P2_1/m (No. 11); the cell edges are 6.8635, 5.7569 and 8.6524 Å and the angles 90.00°, 99.77° and 90.00°. The distinct sites, in fractional coordinates, are Ba at (0.2449, 0.2500, 0.3963), Cr at (0.2618, 0.7500, 0.6411), Hg at (0.3094, 0.2500, 0.9696), O at (0.1084, 0.7500, 0.4677), O at (0.1235, 0.7500, 0.7795) and O at (0.4078, 0.5167, 0.6495).